No. 1
Entry from Alexandria: a relaxed structure of Pm2Co3CuGe4 (GGA-PBE).

The energy relative to the elements is -0.537 eV per atom.

Cell lengths 4.1437, 4.1437, 9.7609 Å; angles 90.00, 90.00, 90.00 degrees
Closest atoms and distances in Å follow each position.
Positions (direct):
Pm: 0.0000 0.5000 0.2452  8 Ge 3.15-3.17, 6 Co 3.17-3.24, 2 Cu 3.24
Pm: 0.5000 0.0000 0.7548  8 Ge 3.15-3.17, 6 Co 3.17-3.24, 2 Cu 3.24
Co: 0.0000 0.5000 0.8775  5 Ge 2.35-2.39
Co: 0.5000 0.0000 0.1225  5 Ge 2.35-2.39
Co: 0.5000 0.5000 0.5000  4 Ge 2.46
Cu: 0.0000 0.0000 0.5000  4 Ge 2.46
Ge: 0.0000 0.0000 0.0000  4 Co 2.39
Ge: 0.0000 0.5000 0.6368  3 Co 2.35-2.46, 2 Cu 2.46
Ge: 0.5000 0.0000 0.3632  3 Co 2.35-2.46, 2 Cu 2.46
Ge: 0.5000 0.5000 0.0000  4 Co 2.39



No. 2
Entry from Alexandria: a relaxed structure of PmCdCuPt (GGA-PBE).

The energy relative to the elements is -0.490 eV per atom.

Cell lengths 4.8537, 4.8537, 4.8537 Å; angles 60.00, 60.00, 60.00 degrees
Closest atoms and distances in Å follow each position.
Positions (direct):
Pm: 0.0000 0.0000 0.0000  4 Cu 2.97, 4 Pt 2.97
Cd: 0.5000 0.5000 0.5000  4 Cu 2.97, 4 Pt 2.97
Cu: 0.7500 0.7500 0.7500  4 Cd 2.97, 4 Pm 2.97
Pt: 0.2500 0.2500 0.2500  4 Cd 2.97, 4 Pm 2.97



Density across the listed records, respectively: 8.133, 10.598 g/cm3.